[1]
DFT (GGA-PBE) results for a relaxed structure of YHfIrPt.

Space-group type: F-43m, No. 216
Energy relative to the elements (kJ per mole of atoms): -86.7
Total magnetization (μB per formula unit): 0.00
ρ (g/cm³): 14.0

The structure in POSCAR format:
```
YHfIrPt
1.0
4.7879 0.0000 0.0000
2.3939 4.1464 0.0000
2.3939 1.3821 3.9093
Ir Pt Hf Y
1 1 1 1
Cartesian
2.3939 1.3821 0.9773 Ir
7.1818 4.1464 2.9320 Pt
0.0000 0.0000 0.0000 Hf
4.7879 2.7643 1.9546 Y
```



[2]
DFT (GGA-PBE) results for a relaxed structure of HfZnIrPt.

Space-group type: I-4m2, No. 119
Energy relative to the elements (kJ per mole of atoms): -81.3
Total magnetization (μB per formula unit): 0.00
ρ (g/cm³): 16.4

The structure in POSCAR format:
```
HfZnIrPt
1.0
-4.0292 0.5955 0.8473
0.2602 -2.7119 3.1438
2.7753 3.8106 0.3059
Zn Pt Hf Ir
1 1 1 1
Cartesian
0.0000 0.0000 0.0000 Zn
-1.5692 1.6739 1.5744 Pt
-1.8845 -1.0582 1.9955 Hf
0.5755 0.0203 2.7226 Ir
```



[3]
DFT (GGA-PBE) results for a relaxed structure of PuHf2Ir.

Space-group type: P4/mmm, No. 123
Energy relative to the elements (kJ per mole of atoms): -26.1
Total magnetization (μB per formula unit): 5.45
ρ (g/cm³): 17.0

The structure in POSCAR format:
```
PuHf2Ir
1.0
3.1685 0.0000 0.0000
0.0000 4.9384 0.0000
0.0000 0.0000 4.9384
Hf Ir Pu
2 1 1
Cartesian
0.0000 0.0000 2.4692 Hf
0.0000 2.4692 0.0000 Hf
1.5842 2.4692 2.4692 Ir
1.5842 0.0000 0.0000 Pu
```



[4]
DFT (GGA-PBE) results for a relaxed structure of PuHfIr4.

Space-group type: F-43m, No. 216
Energy relative to the elements (kJ per mole of atoms): -56.5
Total magnetization (μB per formula unit): 5.14
ρ (g/cm³): 18.8

The structure in POSCAR format:
```
PuHfIr4
1.0
5.2964 0.0000 0.0000
2.6482 4.5868 0.0000
2.6482 1.5289 4.3245
Pu Ir Hf
1 4 1
Cartesian
2.6482 1.5289 1.0811 Pu
6.6200 3.8221 2.7026 Ir
5.2964 3.0579 0.5411 Ir
5.2964 1.5294 2.7026 Ir
3.9727 3.8221 2.7026 Ir
0.0000 0.0000 0.0000 Hf
```



[5]
DFT (GGA-PBE) results for a relaxed structure of Pu2HfIr.

Space-group type: R-3m, No. 166
Energy relative to the elements (kJ per mole of atoms): 26.7
Total magnetization (μB per formula unit): 9.51
ρ (g/cm³): 17.1

The structure in POSCAR format:
```
Pu2HfIr
1.0
-1.2043 -2.6749 -0.1620
0.3098 -1.6050 -2.4412
9.0351 -5.8775 3.2430
Pu Ir Hf
2 1 1
Cartesian
1.6898 -5.5123 -1.4651 Pu
6.4508 -4.6451 2.1048 Pu
4.0703 -5.0787 0.3198 Ir
0.0000 0.0000 0.0000 Hf
```



[6]
DFT (GGA-PBE) results for a relaxed structure of PuHf2Ir.

Space-group type: Fm-3m, No. 225
Energy relative to the elements (kJ per mole of atoms): -15.6
Total magnetization (μB per formula unit): 5.53
ρ (g/cm³): 16.9

The structure in POSCAR format:
```
PuHf2Ir
1.0
4.7941 0.0000 0.0000
2.3970 4.1518 0.0000
2.3970 1.3839 3.9144
Hf Pu Ir
2 1 1
Cartesian
7.1911 4.1518 2.9358 Hf
2.3970 1.3839 0.9786 Hf
0.0000 0.0000 0.0000 Pu
4.7941 2.7679 1.9572 Ir
```



[7]
DFT (GGA-PBE) results for a relaxed structure of PuHf2Ir.

Space-group type: P4/mmm, No. 123
Energy relative to the elements (kJ per mole of atoms): -38.1
Total magnetization (μB per formula unit): 5.32
ρ (g/cm³): 16.2

The structure in POSCAR format:
```
PuHf2Ir
1.0
3.2731 0.0000 0.0000
0.0000 3.2731 0.0000
0.0000 0.0000 7.6108
Pu Hf Ir
1 2 1
Cartesian
1.6365 1.6365 3.8054 Pu
0.0000 0.0000 1.6123 Hf
0.0000 0.0000 5.9985 Hf
1.6365 1.6365 0.0000 Ir
```



[8]
DFT (GGA-PBE) results for a relaxed structure of PuHfIr2.

Space-group type: P4/mmm, No. 123
Energy relative to the elements (kJ per mole of atoms): -65.0
Total magnetization (μB per formula unit): 5.29
ρ (g/cm³): 17.7

The structure in POSCAR format:
```
PuHfIr2
1.0
-0.4366 -2.9576 1.0963
-0.2718 -1.0674 -2.9877
7.3628 -1.1792 -0.2486
Ir Hf Pu
2 1 1
Cartesian
1.5990 -0.2561 -0.0540 Ir
5.7638 -0.9231 -0.1946 Ir
-0.3542 -2.0125 -0.9457 Hf
3.3272 -2.6021 -1.0700 Pu
```



[9]
DFT (GGA-PBE) results for a relaxed structure of PuHfIrRh.

Space-group type: F-43m, No. 216
Energy relative to the elements (kJ per mole of atoms): -57.7
Total magnetization (μB per formula unit): 5.22
ρ (g/cm³): 15.8

The structure in POSCAR format:
```
PuHfIrRh
1.0
4.7412 0.0000 0.0000
2.3706 4.1060 0.0000
2.3706 1.3687 3.8712
Hf Ir Rh Pu
1 1 1 1
Cartesian
4.7412 2.7373 1.9356 Hf
7.1118 4.1060 2.9034 Ir
2.3706 1.3687 0.9678 Rh
0.0000 0.0000 0.0000 Pu
```



[10]
DFT (GGA-PBE) results for a relaxed structure of PuHfTiIr.

Space-group type: F-43m, No. 216
Energy relative to the elements (kJ per mole of atoms): -17.4
Total magnetization (μB per formula unit): 5.39
ρ (g/cm³): 15.1

The structure in POSCAR format:
```
PuHfTiIr
1.0
-2.8080 2.6141 -2.7009
-0.7835 -1.2368 -4.4576
-4.2099 -1.6309 -1.2767
Ir Hf Pu Ti
1 1 1 1
Cartesian
-3.9007 -0.1268 -4.2176 Ir
-5.8511 -0.1901 -6.3264 Hf
0.0000 0.0000 0.0000 Pu
-1.9504 -0.0634 -2.1088 Ti
```



[11]
DFT (GGA-PBE) results for a relaxed structure of RbHfIr.

Space-group type: P2_1/m, No. 11
Energy relative to the elements (kJ per mole of atoms): -25.8
Total magnetization (μB per formula unit): 0.00
ρ (g/cm³): 7.9

The structure in POSCAR format:
```
RbHfIr
1.0
-1.3263 -2.8306 -0.9743
2.0758 -2.1328 3.3706
-9.7690 3.3985 8.1667
Ir Rb Hf
2 2 2
Cartesian
-9.1013 1.2806 7.9149 Ir
0.0817 -2.8454 2.6481 Ir
-7.1416 -0.6711 5.4731 Rb
-1.8780 -0.8937 5.0899 Rb
-0.4118 -0.3376 1.5395 Hf
-8.6078 -1.2272 9.0234 Hf
```



[12]
DFT (GGA-PBE) results for a relaxed structure of Rb2HfIr.

Space-group type: Fm-3m, No. 225
Energy relative to the elements (kJ per mole of atoms): 178.2
Total magnetization (μB per formula unit): 1.04
ρ (g/cm³): 7.5

The structure in POSCAR format:
```
Rb2HfIr
1.0
0.0000 3.9208 3.9208
3.9208 0.0000 3.9208
3.9208 3.9208 0.0000
Ir Rb Hf
1 2 1
Cartesian
3.9208 3.9208 3.9208 Ir
5.8812 5.8812 5.8812 Rb
1.9604 1.9604 1.9604 Rb
0.0000 0.0000 0.0000 Hf
```



[13]
DFT (GGA-PBE) results for a relaxed structure of RbHf3Ir.

Space-group type: Pm-3m, No. 221
Energy relative to the elements (kJ per mole of atoms): 237.2
Total magnetization (μB per formula unit): 0.00
ρ (g/cm³): 11.9

The structure in POSCAR format:
```
RbHf3Ir
1.0
4.8464 0.0000 0.0000
0.0000 4.8464 0.0000
0.0000 0.0000 4.8464
Hf Rb Ir
3 1 1
Cartesian
2.4232 0.0000 0.0000 Hf
0.0000 0.0000 2.4232 Hf
0.0000 2.4232 0.0000 Hf
0.0000 0.0000 0.0000 Rb
2.4232 2.4232 2.4232 Ir
```



[14]
DFT (GGA-PBE) results for a relaxed structure of RbHfIr.

Space-group type: P-1, No. 2
Energy relative to the elements (kJ per mole of atoms): -17.6
Total magnetization (μB per formula unit): 0.00
ρ (g/cm³): 7.1

The structure in POSCAR format:
```
RbHfIr
1.0
3.5651 -0.0034 -0.0001
-1.7853 4.7929 -0.0015
-0.3171 -0.6695 12.5756
Hf Ir Rb
2 2 2
Cartesian
0.5736 0.4711 11.7276 Hf
0.8890 3.6490 0.8464 Hf
2.6729 1.4710 1.1041 Ir
-1.2103 2.6492 11.4699 Ir
0.8897 0.8170 4.0362 Rb
0.5730 3.3031 8.5379 Rb
```



[15]
DFT (GGA-PBE) results for a relaxed structure of RbHfIr.

Space-group type: I4mm, No. 107
Energy relative to the elements (kJ per mole of atoms): 8.3
Total magnetization (μB per formula unit): 0.00
ρ (g/cm³): 8.7

The structure in POSCAR format:
```
RbHfIr
1.0
-1.8341 1.7729 -2.2878
0.0735 -2.6790 -2.1351
-12.5701 -5.1783 6.0646
Hf Rb Ir
2 2 2
Cartesian
-4.1131 -1.6944 1.9844 Hf
-11.2784 -4.7367 2.8053 Hf
-0.9322 -0.3840 0.4497 Rb
-8.0975 -3.4262 1.2706 Rb
-9.4791 -3.9050 4.5733 Ir
-4.0744 -1.7689 -0.6704 Ir
```



[16]
DFT (GGA-PBE) results for a relaxed structure of RbHf3Ir.

Space-group type: Pm-3m, No. 221
Energy relative to the elements (kJ per mole of atoms): 44.5
Total magnetization (μB per formula unit): 0.00
ρ (g/cm³): 9.7

The structure in POSCAR format:
```
RbHf3Ir
1.0
5.1886 0.0000 0.0000
0.0000 5.1886 0.0000
0.0000 0.0000 5.1886
Rb Hf Ir
1 3 1
Cartesian
2.5943 2.5943 2.5943 Rb
0.0000 2.5943 0.0000 Hf
0.0000 0.0000 2.5943 Hf
2.5943 0.0000 0.0000 Hf
0.0000 0.0000 0.0000 Ir
```



[17]
DFT (GGA-PBE) results for a relaxed structure of Rb3HfIr.

Space-group type: Pm-3m, No. 221
Energy relative to the elements (kJ per mole of atoms): 169.5
Total magnetization (μB per formula unit): 0.00
ρ (g/cm³): 4.3

The structure in POSCAR format:
```
Rb3HfIr
1.0
6.2321 0.0000 0.0000
0.0000 6.2321 0.0000
0.0000 0.0000 6.2321
Rb Ir Hf
3 1 1
Cartesian
3.1161 0.0000 0.0000 Rb
0.0000 0.0000 3.1161 Rb
0.0000 3.1161 0.0000 Rb
0.0000 0.0000 0.0000 Ir
3.1161 3.1161 3.1161 Hf
```



[18]
DFT (GGA-PBE) results for a relaxed structure of RbHfIr.

Space-group type: P1, No. 1
Energy relative to the elements (kJ per mole of atoms): 3.6
Total magnetization (μB per formula unit): 0.00
ρ (g/cm³): 8.8

The structure in POSCAR format:
```
RbHfIr
1.0
-1.2895 -3.0735 -0.1852
5.5496 -0.6804 2.7292
-3.7561 1.2107 7.6022
Rb Ir Hf
2 2 2
Cartesian
0.0024 -0.3644 4.5608 Rb
3.3586 -1.8176 4.0694 Rb
1.0134 -2.4793 1.5165 Ir
1.8868 -1.3221 7.8314 Ir
-2.4276 0.5252 7.2176 Hf
-0.5982 -2.1037 8.0184 Hf
```



[19]
DFT (GGA-PBE) results for a relaxed structure of RbHfIr.

Space-group type: Cmcm, No. 63
Energy relative to the elements (kJ per mole of atoms): 1.2
Total magnetization (μB per formula unit): 0.00
ρ (g/cm³): 9.0

The structure in POSCAR format:
```
RbHfIr
1.0
3.3500 0.0000 0.0000
0.0000 16.1112 0.0000
0.0000 0.0000 6.2343
Hf Rb Ir
4 4 4
Cartesian
1.6750 8.0556 0.0000 Hf
0.0000 0.0000 0.0000 Hf
0.0000 0.0000 3.1172 Hf
1.6750 8.0556 3.1172 Hf
0.0000 4.8171 1.5586 Rb
1.6750 3.2385 4.6758 Rb
1.6750 12.8727 1.5586 Rb
0.0000 11.2940 4.6758 Rb
1.6750 14.7057 4.6758 Ir
0.0000 6.6501 4.6758 Ir
1.6750 1.4055 1.5586 Ir
0.0000 9.4611 1.5586 Ir
```



[20]
DFT (GGA-PBE) results for a relaxed structure of RbHfIr.

Space-group type: P1, No. 1
Energy relative to the elements (kJ per mole of atoms): 9.2
Total magnetization (μB per formula unit): 0.00
ρ (g/cm³): 8.4

The structure in POSCAR format:
```
RbHfIr
1.0
3.5403 0.0000 0.0000
-0.0028 6.8072 0.0000
-1.7078 -1.2844 7.5188
Hf Rb Ir
2 2 2
Cartesian
0.5046 5.2285 6.3691 Hf
0.5078 1.5015 7.1861 Hf
0.5224 2.5372 3.5655 Rb
0.3910 5.9883 2.3167 Rb
-1.2630 3.2790 6.5627 Ir
-1.2640 0.2912 5.6230 Ir
```



[21]
DFT (GGA-PBE) results for a relaxed structure of RbHfIr.

Space-group type: Amm2, No. 38
Energy relative to the elements (kJ per mole of atoms): 8.9
Total magnetization (μB per formula unit): 0.00
ρ (g/cm³): 8.6

The structure in POSCAR format:
```
RbHfIr
1.0
-2.6897 -1.0233 -1.5275
-0.1490 -2.8202 2.1517
-8.5337 7.8853 9.7443
Rb Ir Hf
2 2 2
Cartesian
-4.2456 2.4441 5.8387 Rb
-8.4379 7.7969 9.6350 Rb
-8.3568 4.4886 8.2337 Ir
-4.0155 1.9561 2.2857 Ir
-2.1142 0.4746 3.4049 Hf
-6.3065 5.8274 7.2012 Hf
```



[22]
DFT (GGA-PBE) results for a relaxed structure of Rb2HfIr.

Space-group type: I-42d, No. 122
Energy relative to the elements (kJ per mole of atoms): 76.6
Total magnetization (μB per formula unit): 0.00
ρ (g/cm³): 4.5

The structure in POSCAR format:
```
Rb2HfIr
1.0
12.8196 0.0000 0.0000
0.0000 12.8196 0.0000
6.4098 6.4098 2.4487
Rb Hf Ir
4 2 2
Cartesian
13.9901 9.6147 0.6122 Rb
9.6147 7.5803 1.8365 Rb
16.0245 5.2393 1.8365 Rb
11.6491 3.2049 0.6122 Rb
6.4098 6.4098 0.0000 Hf
6.4098 12.8196 1.2243 Hf
0.0000 0.0000 0.0000 Ir
12.8196 6.4098 1.2243 Ir
```



[23]
DFT (GGA-PBE) results for a relaxed structure of RbHfIrS2.

Space-group type: P4/mmm, No. 123
Formation energy from raw total energies (eV/atom): 0.631
Total magnetization (μB per formula unit): 1.82
ρ (g/cm³): 3.6

The structure in POSCAR format:
```
RbHfIrS2
1.0
4.8740 0.0000 0.0000
0.0000 10.1857 0.0000
0.0000 0.0000 4.8740
Rb S Hf Ir
1 2 1 1
Cartesian
0.0000 5.0928 0.0000 Rb
0.0000 0.0000 2.4370 S
2.4370 0.0000 0.0000 S
0.0000 0.0000 0.0000 Hf
2.4370 5.0928 2.4370 Ir
```



[24]
DFT (GGA-PBE) results for a relaxed structure of RbHf2TiIr.

Space-group type: P4/mmm, No. 123
Energy relative to the elements (kJ per mole of atoms): 229.4
Total magnetization (μB per formula unit): 0.00
ρ (g/cm³): 9.9

The structure in POSCAR format:
```
RbHf2TiIr
1.0
-4.5620 1.6916 -0.6342
-0.3333 -2.4271 -4.0763
-1.7735 -3.8657 2.4467
Ti Ir Hf Rb
1 1 2 1
Cartesian
-3.3344 -2.3006 -1.1319 Ti
-0.1666 -1.2135 -2.0382 Ir
-0.8868 -1.9329 1.2233 Hf
-2.2810 0.8458 -0.3171 Hf
0.0000 0.0000 0.0000 Rb
```



[25]
DFT (GGA-PBE) results for a relaxed structure of Hf6ReIr5.

Space-group type: Cmmm, No. 65
Energy relative to the elements (kJ per mole of atoms): -81.5
Total magnetization (μB per formula unit): 0.00
ρ (g/cm³): 17.5

The structure in POSCAR format:
```
Hf6ReIr5
1.0
4.3921 -0.0266 1.4637
0.0358 6.5631 0.0119
0.0018 -0.0133 7.3161
Hf Ir Re
6 5 1
Cartesian
2.2050 1.6311 0.7348 Hf
0.7393 1.6368 5.1332 Hf
3.6726 1.6235 3.6526 Hf
2.2229 4.9054 0.7408 Hf
3.6904 4.8865 3.6585 Hf
0.7570 4.8998 5.1392 Hf
2.9500 3.2550 5.8506 Ir
0.0179 3.2816 0.0060 Ir
1.4796 3.2683 2.9412 Ir
2.9317 -0.0266 5.8459 Ir
1.4621 -0.0133 2.9339 Ir
0.0000 0.0000 0.0000 Re
```



[26]
DFT (GGA-PBE) results for a relaxed structure of Hf3Re2Ir.

Space-group type: P4/mmm, No. 123
Energy relative to the elements (kJ per mole of atoms): -57.3
Total magnetization (μB per formula unit): 0.00
ρ (g/cm³): 17.4

The structure in POSCAR format:
```
Hf3Re2Ir
1.0
-2.7709 1.4128 1.0390
0.2261 -1.6388 2.8314
5.1871 7.3496 3.8398
Hf Re Ir
3 2 1
Cartesian
3.4705 4.9173 2.5690 Hf
1.7167 2.4323 1.2708 Hf
0.0000 0.0000 0.0000 Hf
3.0363 5.9920 5.1247 Re
-0.3940 1.1317 2.5854 Re
1.3211 3.5618 3.8551 Ir
```



[27]
DFT (GGA-PBE) results for a relaxed structure of Hf4Re3Ir.

Space-group type: Pmmm, No. 47
Energy relative to the elements (kJ per mole of atoms): -51.4
Total magnetization (μB per formula unit): 0.00
ρ (g/cm³): 17.4

The structure in POSCAR format:
```
Hf4Re3Ir
1.0
-1.4746 2.0876 2.0669
-2.9208 1.2542 -3.3505
-5.8247 -6.6699 2.5811
Hf Ir Re
4 1 3
Cartesian
-2.9253 -1.0504 -1.0261 Hf
-5.8203 -4.3654 0.2568 Hf
-2.9124 -3.3350 1.2906 Hf
0.0000 0.0000 0.0000 Hf
-2.1977 1.6709 -0.6418 Ir
-5.1101 -1.6641 0.6488 Re
-2.1809 -0.6093 1.6732 Re
-5.1184 -3.9731 2.9749 Re
```



[28]
DFT (GGA-PBE) results for a relaxed structure of HfRe3Ir.

Space-group type: Pm-3m, No. 221
Energy relative to the elements (kJ per mole of atoms): 262.5
Total magnetization (μB per formula unit): 0.00
ρ (g/cm³): 15.3

The structure in POSCAR format:
```
HfRe3Ir
1.0
4.6504 0.0000 0.0000
0.0000 4.6504 0.0000
0.0000 0.0000 4.6504
Re Ir Hf
3 1 1
Cartesian
0.0000 0.0000 2.3252 Re
2.3252 0.0000 0.0000 Re
0.0000 2.3252 0.0000 Re
2.3252 2.3252 2.3252 Ir
0.0000 0.0000 0.0000 Hf
```